# MnGeRu2F | the Alexandria database | GGA+U | relaxed
data_MnGeRu2F
_chemical_formula_sum 'Mn1 Ge1 Ru2 F1'
_cell_length_a 4.3941
_cell_length_b 4.3941
_cell_length_c 4.5398
_cell_angle_alpha 90.00
_cell_angle_beta 90.00
_cell_angle_gamma 90.00
_space_group_name_H-M_alt 'P 1'
_space_group_IT_number 1
loop_
_space_group_symop_operation_xyz
'x,y,z'
loop_
_atom_site_label
_atom_site_type_symbol
_atom_site_fract_x
_atom_site_fract_y
_atom_site_fract_z
Mn1 Mn 0.0000 0.0000 0.0000
Ge1 Ge 0.0000 0.0000 0.5000
Ru1 Ru 0.0000 0.5000 0.0000
Ru2 Ru 0.5000 0.0000 0.0000
F1 F 0.5000 0.5000 0.5000
# Mass density (g cm⁻³): 6.61
# Uncorrected energy (eV for the cell shown): -25.10
# SG: P4/mmm, No. 123
# Total moment (μB per formula unit): 2.55
# Crystal system: tetragonal